No. 1
A geometry-optimized LaB4Mo3O12 structure. Source: Alexandria, functional PBE+U.

Cell: 6.3753 6.3753 6.3753 Å, 102.93 102.93 102.93°
Closest atoms and distances in Å follow each position.
Element x y z (fractional)
1 La 0.0000 0.0000 0.0000  6 O 2.49
2 B 0.0516 0.5000 0.9484  3 O 1.38-1.40
3 B 0.5000 0.5000 0.5000  3 O 1.39
4 B 0.5000 0.9484 0.0516  3 O 1.38-1.40
5 B 0.9484 0.0516 0.5000  3 O 1.38-1.40
6 Mo 0.0000 0.5494 0.4506  6 O 2.14-2.18
7 Mo 0.4506 0.0000 0.5494  6 O 2.14-2.18
8 Mo 0.5494 0.4506 0.0000  6 O 2.14-2.18
9 O 0.0328 0.6301 0.8034  1 B 1.38
10 O 0.0884 0.9116 0.5000  1 B 1.40
11 O 0.1966 0.3699 0.9672  1 B 1.38
12 O 0.3611 0.6389 0.5000  1 B 1.39
13 O 0.3699 0.9672 0.1966  1 B 1.38
14 O 0.5000 0.0884 0.9116  1 B 1.40
15 O 0.5000 0.3611 0.6389  1 B 1.39
16 O 0.6301 0.8034 0.0328  1 B 1.38
17 O 0.6389 0.5000 0.3611  1 B 1.39
18 O 0.8034 0.0328 0.6301  1 B 1.38
19 O 0.9116 0.5000 0.0884  1 B 1.40
20 O 0.9672 0.1966 0.3699  1 B 1.38

Properties
Its space-group type is R32. As for the total energy: -159.2 eV/cell.

***

No. 2
A geometry-optimized CrCuP2O structure. Source: Alexandria, functional PBE+U.

Cell: 4.7815 4.7815 3.4602 Å, 90.00 90.00 90.00°
Closest atoms and distances in Å follow each position.
Element x y z (fractional)
1 Cr 0.0000 0.0000 0.0000  2 O 1.73
2 Cu 0.5000 0.5000 0.5000  8 P 2.95
3 P 0.0000 0.5000 0.0000  2 Cr 2.39
4 P 0.5000 0.0000 0.0000  2 Cr 2.39
5 O 0.0000 0.0000 0.5000  2 Cr 1.73

Properties
The value obtained for the energy above the most stable polymorph in this dataset is 0 meV/atom. Its space-group type is P4/mmm. As for the total energy: -25.8 eV/cell.

***

Repeat the second record exactly.
A geometry-optimized CrCuP2O structure. Source: Alexandria, functional PBE+U.

Cell: 4.7815 4.7815 3.4602 Å, 90.00 90.00 90.00°
Closest atoms and distances in Å follow each position.
Element x y z (fractional)
1 Cr 0.0000 0.0000 0.0000  2 O 1.73
2 Cu 0.5000 0.5000 0.5000  8 P 2.95
3 P 0.0000 0.5000 0.0000  2 Cr 2.39
4 P 0.5000 0.0000 0.0000  2 Cr 2.39
5 O 0.0000 0.0000 0.5000  2 Cr 1.73

Properties
The value obtained for the energy above the most stable polymorph in this dataset is 0 meV/atom. Its space-group type is P4/mmm. As for the total energy: -25.8 eV/cell.